[1]
A relaxed structure of Hg3H4. Source: Alexandria via LeMat-Bulk, functional PBE-GGA.

Geometry as CIF:
```
data_Hg3H4
_chemical_formula_sum 'Hg6 H8'
_symmetry_space_group_name_H-M 'P 1'
_symmetry_Int_Tables_number 1
_symmetry_space_group_name_Hall 'P 1'
_cell_length_a 4.332
_cell_length_b 4.332
_cell_length_c 15.602
_cell_angle_alpha 90.00
_cell_angle_beta 90.00
_cell_angle_gamma 90.00
loop_
_atom_site_label
_atom_site_type_symbol
_atom_site_fract_x
_atom_site_fract_y
_atom_site_fract_z
Hg1 Hg 0.000 0.000 0.000
Hg2 Hg 0.000 0.000 0.288
Hg3 Hg 0.000 0.000 0.712
Hg4 Hg 0.500 0.500 0.212
Hg5 Hg 0.500 0.500 0.500
Hg6 Hg 0.500 0.500 0.788
H1 H 0.000 0.000 0.107
H2 H 0.000 0.000 0.476
H3 H 0.000 0.000 0.524
H4 H 0.000 0.000 0.893
H5 H 0.500 0.500 0.024
H6 H 0.500 0.500 0.393
H7 H 0.500 0.500 0.607
H8 H 0.500 0.500 0.976
```

Values from the calculation:
E_tot (eV/cell): -26.27



[2]
A relaxed structure of Li2YBr. Source: Alexandria via LeMat-Bulk, functional PBE-GGA.

Geometry as CIF:
```
data_Li2YBr
_chemical_formula_sum 'Li4 Y2 Br2'
_symmetry_space_group_name_H-M 'P 1'
_symmetry_Int_Tables_number 1
_symmetry_space_group_name_Hall 'P 1'
_cell_length_a 4.082
_cell_length_b 4.082
_cell_length_c 11.982
_cell_angle_alpha 90.00
_cell_angle_beta 90.00
_cell_angle_gamma 90.00
loop_
_atom_site_label
_atom_site_type_symbol
_atom_site_fract_x
_atom_site_fract_y
_atom_site_fract_z
Li1 Li 0.000 0.500 0.250
Li2 Li 0.000 0.500 0.750
Li3 Li 0.500 0.000 0.250
Li4 Li 0.500 0.000 0.750
Y1 Y 0.000 0.000 0.000
Y2 Y 0.500 0.500 0.500
Br1 Br 0.000 0.000 0.500
Br2 Br 0.500 0.500 0.000
```

Values from the calculation:
Uncorrected formation energy (eV/atom): -0.297
E_tot (eV/cell): -26.30
Energy above the lowest structure with this stoichiometry (eV/f.u.): 0.95



[3]
A relaxed structure of Fe2MoCl. Source: Alexandria via LeMat-Bulk, functional PBE-GGA.

Geometry as CIF:
```
data_Fe2MoCl
_chemical_formula_sum 'Fe4 Mo2 Cl2'
_symmetry_space_group_name_H-M 'P 1'
_symmetry_Int_Tables_number 1
_symmetry_space_group_name_Hall 'P 1'
_cell_length_a 4.911
_cell_length_b 8.519
_cell_length_c 2.753
_cell_angle_alpha 90.00
_cell_angle_beta 90.00
_cell_angle_gamma 90.00
loop_
_atom_site_label
_atom_site_type_symbol
_atom_site_fract_x
_atom_site_fract_y
_atom_site_fract_z
Fe1 Fe 0.250 0.250 0.000
Fe2 Fe 0.250 0.750 0.000
Fe3 Fe 0.750 0.250 0.000
Fe4 Fe 0.750 0.750 0.000
Mo1 Mo 0.000 0.000 0.500
Mo2 Mo 0.500 0.500 0.500
Cl1 Cl 0.000 0.500 0.500
Cl2 Cl 0.500 0.000 0.500
```

Values from the calculation:
Uncorrected formation energy (eV/atom): 0.640
E_tot (eV/cell): -54.09
Energy above the lowest structure with this stoichiometry (eV/f.u.): 1.87



[4]
A relaxed structure of Li2HO. Source: Alexandria via LeMat-Bulk, functional PBE-GGA.

Geometry as CIF:
```
data_Li2HO
_chemical_formula_sum 'Li4 H2 O2'
_symmetry_space_group_name_H-M 'P 1'
_symmetry_Int_Tables_number 1
_symmetry_space_group_name_Hall 'P 1'
_cell_length_a 5.164
_cell_length_b 2.772
_cell_length_c 5.563
_cell_angle_alpha 90.00
_cell_angle_beta 117.47
_cell_angle_gamma 90.00
loop_
_atom_site_label
_atom_site_type_symbol
_atom_site_fract_x
_atom_site_fract_y
_atom_site_fract_z
Li1 Li 0.086 0.250 0.192
Li2 Li 0.396 0.750 0.809
Li3 Li 0.604 0.250 0.191
Li4 Li 0.914 0.750 0.808
H1 H 0.496 0.750 0.492
H2 H 0.504 0.250 0.508
O1 O 0.199 0.250 0.897
O2 O 0.801 0.750 0.103
```

Values from the calculation:
E_tot (eV/cell): -32.44
Energy above the lowest structure with this stoichiometry (eV/f.u.): 0.00



[5]
A relaxed structure of YHoTm5Sc2. Source: Alexandria via LeMat-Bulk, functional PBE-GGA.

Geometry as CIF:
```
data_YHoTm5Sc2
_chemical_formula_sum 'Y2 Ho2 Tm10 Sc4'
_symmetry_space_group_name_H-M 'P 1'
_symmetry_Int_Tables_number 1
_symmetry_space_group_name_Hall 'P 1'
_cell_length_a 10.955
_cell_length_b 10.955
_cell_length_c 9.230
_cell_angle_alpha 90.00
_cell_angle_beta 90.00
_cell_angle_gamma 150.82
loop_
_atom_site_label
_atom_site_type_symbol
_atom_site_fract_x
_atom_site_fract_y
_atom_site_fract_z
Y1 Y 0.098 0.902 0.500
Y2 Y 0.902 0.098 0.000
Ho1 Ho 0.313 0.687 0.902
Ho2 Ho 0.687 0.313 0.402
Tm1 Tm 0.031 0.969 0.171
Tm2 Tm 0.108 0.892 0.874
Tm3 Tm 0.193 0.807 0.199
Tm4 Tm 0.236 0.764 0.583
Tm5 Tm 0.490 0.510 0.901
Tm6 Tm 0.510 0.490 0.401
Tm7 Tm 0.764 0.236 0.083
Tm8 Tm 0.807 0.193 0.699
Tm9 Tm 0.892 0.108 0.374
Tm10 Tm 0.969 0.031 0.671
Sc1 Sc 0.360 0.640 0.225
Sc2 Sc 0.387 0.613 0.597
Sc3 Sc 0.613 0.387 0.097
Sc4 Sc 0.640 0.360 0.725
```

Values from the calculation:
E_tot (eV/cell): -88.96
Energy of formation (eV per atom): 0.176



[6]
A relaxed structure of Tl2PtW. Source: Alexandria via LeMat-Bulk, functional PBE-GGA.

Geometry as CIF:
```
data_Tl2PtW
_chemical_formula_sum 'Tl4 Pt2 W2'
_symmetry_space_group_name_H-M 'P 1'
_symmetry_Int_Tables_number 1
_symmetry_space_group_name_Hall 'P 1'
_cell_length_a 6.211
_cell_length_b 9.705
_cell_length_c 2.980
_cell_angle_alpha 90.00
_cell_angle_beta 117.88
_cell_angle_gamma 90.00
loop_
_atom_site_label
_atom_site_type_symbol
_atom_site_fract_x
_atom_site_fract_y
_atom_site_fract_z
Tl1 Tl 0.250 0.250 0.000
Tl2 Tl 0.250 0.750 0.000
Tl3 Tl 0.750 0.250 0.000
Tl4 Tl 0.750 0.750 0.000
Pt1 Pt 0.000 0.000 0.500
Pt2 Pt 0.500 0.500 0.500
W1 W 0.000 0.500 0.500
W2 W 0.500 0.000 0.500
```

Values from the calculation:
E_tot (eV/cell): -41.88
Energy above the lowest structure with this stoichiometry (eV/f.u.): 1.42
Energy of formation (eV per atom): 0.696



Which value of E_tot does entry 2 give? -26.30 eV/cell



What is the formula in the second record? Li2YBr